VASP calculation (PBE-GGA) on a geometry-optimized Tc2HgAs structure.

CIF file:
```
data_Tc2HgAs
_chemical_formula_sum 'Tc4 Hg2 As2'
_space_group_name_H-M_alt 'C m m 2'
_space_group_IT_number 35
_space_group_name_Hall 'C 2 -2'
_cell_length_a 2.909
_cell_length_b 4.835
_cell_length_c 10.717
_cell_angle_alpha 90.00
_cell_angle_beta 90.00
_cell_angle_gamma 90.00
loop_
_atom_site_label
_atom_site_type_symbol
_atom_site_fract_x
_atom_site_fract_y
_atom_site_fract_z
_atom_site_occupancy
Tc1 Tc 0.000 0.000 0.000 1
Tc2 Tc 0.000 0.500 0.197 1
Hg1 Hg 0.000 0.500 0.748 1
As1 As 0.000 0.000 0.402 1
```

## Properties
ΔE to the lowest computed polymorph, meV per atom: 276
Energy of formation, eV per atom: 0.4074
Total moment, μB/cell: 0.00
VASP energy, eV per atom: -6.013
Crystal system: orthorhombic


VASP calculation (PBE-GGA) on a geometry-optimized MnIn3Ni structure.

CIF file:
```
data_MnIn3Ni
_chemical_formula_sum 'Mn1 In3 Ni1'
_space_group_name_H-M_alt 'P m -3 m'
_space_group_IT_number 221
_space_group_name_Hall '-P 4 2 3'
_cell_length_a 4.922
_cell_length_b 4.922
_cell_length_c 4.922
_cell_angle_alpha 90.00
_cell_angle_beta 90.00
_cell_angle_gamma 90.00
loop_
_atom_site_label
_atom_site_type_symbol
_atom_site_fract_x
_atom_site_fract_y
_atom_site_fract_z
_atom_site_occupancy
Mn1 Mn 0.000 0.000 0.000 1
In1 In 0.000 0.500 0.500 1
Ni1 Ni 0.500 0.500 0.500 1
```

## Properties
ΔE to the lowest computed polymorph, meV per atom: 0
Energy of formation, eV per atom: 0.3480
Total moment, μB/cell: 4.34
VASP energy, eV per atom: -4.285
Crystal system: cubic


VASP calculation (PBE-GGA) on a geometry-optimized RbDyZn2F8 structure.

CIF file:
```
data_RbDyZn2F8
_chemical_formula_sum 'Rb3 Dy3 Zn6 F24'
_space_group_name_H-M_alt 'R 3 2'
_space_group_IT_number 155
_space_group_name_Hall 'R 3 2"'
_cell_length_a 5.3469
_cell_length_b 5.3469
_cell_length_c 25.5875
_cell_angle_alpha 90.00
_cell_angle_beta 90.00
_cell_angle_gamma 120.00
loop_
_atom_site_label
_atom_site_type_symbol
_atom_site_fract_x
_atom_site_fract_y
_atom_site_fract_z
_atom_site_occupancy
Rb1 Rb 0.0000 0.0000 0.0000 1
Dy1 Dy 0.0000 0.0000 0.5000 1
Zn1 Zn 0.0000 0.0000 0.2537 1
F1 F 0.0000 0.0000 0.3262 1
F2 F 0.0070 0.3551 0.1125 1
```

## Properties
Total moment, μB/cell: 0.22
VASP energy, eV per atom: -4.844
Crystal system: trigonal